# 1
This record from the Alexandria database describes AlHgCl6 after structural relaxation. The functional is PBE.

Lattice parameters (Å, degrees): 6.8213 6.8213 6.8601 100.53 100.53 125.46
Positions (direct):
1 Al 0.0000 0.0000 0.0000
2 Hg 0.5000 0.5000 0.5000
3 Cl 0.0618 0.3356 0.2420
4 Cl 0.2859 0.2859 0.8485
5 Cl 0.3356 0.0618 0.2420
6 Cl 0.6644 0.9382 0.7580
7 Cl 0.7141 0.7141 0.1515
8 Cl 0.9382 0.6644 0.7580

Calculated values
V (Å³ per cell): 238.4
Uncorrected formation energy (meV/atom): -843
SG: C2/m, No. 12

---

# 2
This record from the Alexandria database describes AlHg2Cl after structural relaxation. The functional is PBE.

Lattice parameters (Å, degrees): 5.2486 5.2486 5.2486 60.00 60.00 60.00
Positions (direct):
1 Al 0.0000 0.0000 0.0000
2 Hg 0.2500 0.2500 0.2500
3 Hg 0.7500 0.7500 0.7500
4 Cl 0.5000 0.5000 0.5000

Calculated values
V (Å³ per cell): 102.2
Uncorrected formation energy (meV/atom): -3
SG: Fm-3m, No. 225
Energy above the lowest structure with this stoichiometry (meV per atom): 283

---

# 3
This record from the Alexandria database describes AlHg2Cl after structural relaxation. The functional is PBE.

Lattice parameters (Å, degrees): 3.6107 3.6107 7.7947 90.00 90.00 108.15
Positions (direct):
1 Al 0.0000 0.0000 0.0000
2 Hg 0.5000 0.5000 0.2320
3 Hg 0.5000 0.5000 0.7680
4 Cl 0.0000 0.0000 0.5000

Calculated values
V (Å³ per cell): 96.6
Uncorrected formation energy (meV/atom): -80
SG: Cmmm, No. 65
Energy above the lowest structure with this stoichiometry (meV per atom): 207

---

# 4
This record from the Alexandria database describes Al2HgCl after structural relaxation. The functional is PBE.

Lattice parameters (Å, degrees): 5.4122 5.4122 3.1646 103.89 103.89 88.52
Positions (direct):
1 Al 0.0000 0.5000 0.0000
2 Al 0.5000 0.0000 0.0000
3 Hg 0.0000 0.0000 0.0000
4 Cl 0.5000 0.5000 0.0000

Calculated values
V (Å³ per cell): 87.3
Uncorrected formation energy (meV/atom): -83
SG: C2/m, No. 12
Energy above the lowest structure with this stoichiometry (meV per atom): 55

---

# 5
This record from the Alexandria database describes Al2HgCl after structural relaxation. The functional is PBE.

Lattice parameters (Å, degrees): 9.3264 9.3264 9.3264 20.05 20.05 20.05
Positions (direct):
1 Al 0.2444 0.2444 0.2444
2 Al 0.7556 0.7556 0.7556
3 Hg 0.0000 0.0000 0.0000
4 Cl 0.5000 0.5000 0.5000

Calculated values
V (Å³ per cell): 83.4
Uncorrected formation energy (meV/atom): -9
SG: R-3m, No. 166
Energy above the lowest structure with this stoichiometry (meV per atom): 128

---

# 6
This record from the Alexandria database describes Al2HgCl after structural relaxation. The functional is PBE.

Lattice parameters (Å, degrees): 5.0520 5.0520 5.0520 60.00 60.00 60.00
Positions (direct):
1 Al 0.0000 0.0000 0.0000
2 Al 0.2500 0.2500 0.2500
3 Hg 0.7500 0.7500 0.7500
4 Cl 0.5000 0.5000 0.5000

Calculated values
V (Å³ per cell): 91.2
Uncorrected formation energy (meV/atom): 212
SG: F-43m, No. 216
Energy above the lowest structure with this stoichiometry (meV per atom): 350

---

# 7
This record from the Alexandria database describes AlHgCl2 after structural relaxation. The functional is PBE.

Lattice parameters (Å, degrees): 3.6805 3.6805 9.9943 90.00 90.00 90.00
Positions (direct):
1 Al 0.0000 0.0000 0.0000
2 Hg 0.5000 0.5000 0.5297
3 Cl 0.0000 0.0000 0.2115
4 Cl 0.5000 0.5000 0.9429

Calculated values
V (Å³ per cell): 135.4
Uncorrected formation energy (meV/atom): -572
SG: P4mm, No. 99
Energy above the lowest structure with this stoichiometry (meV per atom): 164

---

# 8
This record from the Alexandria database describes AlHg2Cl after structural relaxation. The functional is PBE.

Lattice parameters (Å, degrees): 5.2011 3.3936 6.5383 90.00 111.39 90.00
Positions (direct):
1 Al 0.0000 0.0000 0.0000
2 Hg 0.3604 0.5000 0.3500
3 Hg 0.9600 0.0000 0.5635
4 Cl 0.6478 0.5000 0.9465

Calculated values
V (Å³ per cell): 107.5
Uncorrected formation energy (meV/atom): -253
SG: Pm, No. 6
Energy above the lowest structure with this stoichiometry (meV per atom): 33

---

# 9
This record from the Alexandria database describes Al2HgCl after structural relaxation. The functional is PBE.

Lattice parameters (Å, degrees): 5.6374 5.6374 5.5217 118.89 118.89 34.45
Positions (direct):
1 Al 0.2422 0.2422 0.2427
2 Al 0.7578 0.7578 0.7573
3 Hg 0.0000 0.0000 0.5000
4 Cl 0.5000 0.5000 0.0000

Calculated values
V (Å³ per cell): 85.6
Uncorrected formation energy (meV/atom): 6
SG: C2/m, No. 12
Energy above the lowest structure with this stoichiometry (meV per atom): 144

---

# 10
This record from the Alexandria database describes AlHgCl2 after structural relaxation. The functional is PBE.

Lattice parameters (Å, degrees): 3.3639 3.3639 8.2754 90.00 90.00 90.00
Positions (direct):
1 Al 0.0000 0.0000 0.0000
2 Hg 0.5000 0.5000 0.7620
3 Cl 0.0000 0.0000 0.5622
4 Cl 0.5000 0.5000 0.1773

Calculated values
V (Å³ per cell): 93.6
Uncorrected formation energy (meV/atom): -290
SG: P4mm, No. 99
Energy above the lowest structure with this stoichiometry (meV per atom): 446

---

# 11
This record from the Alexandria database describes AlHg2Cl8 after structural relaxation. The functional is PBE.

Lattice parameters (Å, degrees): 6.9381 6.9381 10.4463 107.07 107.07 53.29
Positions (direct):
1 Al 0.0000 0.0000 0.0000
2 Hg 0.3296 0.3296 0.4334
3 Hg 0.6704 0.6704 0.5666
4 Cl 0.1124 0.6285 0.9055
5 Cl 0.1812 0.1812 0.5281
6 Cl 0.3715 0.8876 0.0945
7 Cl 0.4570 0.4570 0.3109
8 Cl 0.5430 0.5430 0.6891
9 Cl 0.6285 0.1124 0.9055
10 Cl 0.8188 0.8188 0.4719
11 Cl 0.8876 0.3715 0.0945

Calculated values
V (Å³ per cell): 380.8
Uncorrected formation energy (meV/atom): -721
SG: C2/m, No. 12
Energy above the lowest structure with this stoichiometry (meV per atom): 15

---

# 12
This record from the Alexandria database describes AlHg2Cl after structural relaxation. The functional is PBE.

Lattice parameters (Å, degrees): 5.0253 5.0253 3.9233 90.00 90.00 90.00
Positions (direct):
1 Al 0.0000 0.0000 0.0000
2 Hg 0.0000 0.5000 0.5000
3 Hg 0.5000 0.0000 0.5000
4 Cl 0.5000 0.5000 0.0000

Calculated values
V (Å³ per cell): 99.1
Uncorrected formation energy (meV/atom): -2
SG: P4/mmm, No. 123
Energy above the lowest structure with this stoichiometry (meV per atom): 285

---

# 13
This record from the Alexandria database describes Al2HgCl after structural relaxation. The functional is PBE.

Lattice parameters (Å, degrees): 6.6731 6.6731 4.9890 111.05 111.05 25.67
Positions (direct):
1 Al 0.0000 0.0000 0.0000
2 Al 0.6937 0.6937 0.3390
3 Hg 0.2880 0.2880 0.9333
4 Cl 0.4948 0.4948 0.6217

Calculated values
V (Å³ per cell): 89.5
Uncorrected formation energy (meV/atom): -88
SG: Cm, No. 8
Energy above the lowest structure with this stoichiometry (meV per atom): 50

---

# 14
This record from the Alexandria database describes Al2HgCl after structural relaxation. The functional is PBE.

Lattice parameters (Å, degrees): 4.9596 4.9596 4.9596 60.00 60.00 60.00
Positions (direct):
1 Al 0.2500 0.2500 0.2500
2 Al 0.7500 0.7500 0.7500
3 Hg 0.0000 0.0000 0.0000
4 Cl 0.5000 0.5000 0.5000

Calculated values
V (Å³ per cell): 86.3
Uncorrected formation energy (meV/atom): 115
SG: Fm-3m, No. 225
Energy above the lowest structure with this stoichiometry (meV per atom): 252

---

# 15
This record from the Alexandria database describes AlHg2Cl after structural relaxation. The functional is PBE.

Lattice parameters (Å, degrees): 7.0882 7.0882 4.7278 109.36 109.36 26.88
Positions (direct):
1 Al 0.0000 0.0000 0.0000
2 Hg 0.3091 0.3091 0.8083
3 Hg 0.6909 0.6909 0.1917
4 Cl 0.5000 0.5000 0.5000

Calculated values
V (Å³ per cell): 101.0
Uncorrected formation energy (meV/atom): -153
SG: C2/m, No. 12
Energy above the lowest structure with this stoichiometry (meV per atom): 133

---

# 16
This record from the Alexandria database describes AlHgCl2 after structural relaxation. The functional is PBE.

Lattice parameters (Å, degrees): 11.0203 11.0203 11.0203 19.89 19.89 19.89
Positions (direct):
1 Al 0.0000 0.0000 0.0000
2 Hg 0.5000 0.5000 0.5000
3 Cl 0.3757 0.3757 0.3757
4 Cl 0.6243 0.6243 0.6243

Calculated values
V (Å³ per cell): 135.5
Uncorrected formation energy (meV/atom): -567
SG: R-3m, No. 166
Energy above the lowest structure with this stoichiometry (meV per atom): 169

---

# 17
This record from the Alexandria database describes AlHg2Cl after structural relaxation. The functional is PBE.

Lattice parameters (Å, degrees): 4.0378 4.5435 5.7648 90.00 90.00 90.00
Positions (direct):
1 Al 0.0000 0.0000 0.0000
2 Hg 0.0000 0.5000 0.5000
3 Hg 0.5000 0.0000 0.5000
4 Cl 0.5000 0.5000 0.0000

Calculated values
V (Å³ per cell): 105.8
Uncorrected formation energy (meV/atom): -86
SG: Pmmm, No. 47
Energy above the lowest structure with this stoichiometry (meV per atom): 200

---

# 18
This record from the Alexandria database describes AlHg4Cl after structural relaxation. The functional is PBE.

Lattice parameters (Å, degrees): 6.2032 6.2032 6.2032 60.00 60.00 60.00
Positions (direct):
1 Al 0.0000 0.0000 0.0000
2 Hg 0.3753 0.3753 0.3753
3 Hg 0.3753 0.3753 0.8741
4 Hg 0.3753 0.8741 0.3753
5 Hg 0.8741 0.3753 0.3753
6 Cl 0.7500 0.7500 0.7500

Calculated values
V (Å³ per cell): 168.8
Uncorrected formation energy (meV/atom): 71
SG: F-43m, No. 216

---

# 19
This record from the Alexandria database describes AlHgCl2 after structural relaxation. The functional is PBE.

Lattice parameters (Å, degrees): 3.7558 3.7558 8.9738 90.00 90.00 124.04
Positions (direct):
1 Al 0.0000 0.0000 0.0000
2 Hg 0.5000 0.5000 0.2234
3 Cl 0.0000 0.0000 0.4381
4 Cl 0.5000 0.5000 0.8142

Calculated values
V (Å³ per cell): 104.9
Uncorrected formation energy (meV/atom): -436
SG: Cmm2, No. 35
Energy above the lowest structure with this stoichiometry (meV per atom): 300

---

# 20
This record from the Alexandria database describes AlHgICl4 after structural relaxation. The functional is PBE.

Lattice parameters (Å, degrees): 7.8563 7.8563 10.2290 96.43 96.43 95.33
Positions (direct):
1 Al 0.1332 0.1332 0.2375
2 Al 0.8668 0.8668 0.7625
3 Hg 0.3219 0.3219 0.9972
4 Hg 0.6781 0.6781 0.0028
5 I 0.4464 0.4464 0.7875
6 I 0.5536 0.5536 0.2125
7 Cl 0.0301 0.3218 0.1107
8 Cl 0.0632 0.0632 0.7426
9 Cl 0.2678 0.2678 0.4149
10 Cl 0.3218 0.0301 0.1107
11 Cl 0.6782 0.9699 0.8893
12 Cl 0.7322 0.7322 0.5851
13 Cl 0.9368 0.9368 0.2574
14 Cl 0.9699 0.6782 0.8893

Calculated values
V (Å³ per cell): 619.9
Uncorrected formation energy (meV/atom): -1055
SG: C2/m, No. 12